Entry i
Crystalline ScBeTe at its relaxed geometry, computed with GGA-PBE.

Geometry as CIF:
```
data_ScBeTe
_chemical_formula_sum 'Sc1 Be1 Te1'
_cell_length_a 4.2543
_cell_length_b 4.2543
_cell_length_c 3.6617
_cell_angle_alpha 90.00
_cell_angle_beta 90.00
_cell_angle_gamma 120.00
_symmetry_space_group_name_H-M 'P 1'
_symmetry_Int_Tables_number 1
loop_
_symmetry_equiv_pos_as_xyz
'x,y,z'
loop_
_atom_site_label
_atom_site_fract_x
_atom_site_fract_y
_atom_site_fract_z
Sc1 0.0000 0.0000 0.0000
Be1 0.6667 0.3333 0.5016
Te1 0.3333 0.6667 0.5000
```

Values from the calculation:
- Space-group type: P3m1 (156)



Entry ii
Crystalline ScBeTe at its relaxed geometry, computed with GGA-PBE.

Geometry as CIF:
```
data_ScBeTe
_chemical_formula_sum 'Sc1 Be1 Te1'
_cell_length_a 5.4805
_cell_length_b 5.3128
_cell_length_c 3.5107
_cell_angle_alpha 73.63
_cell_angle_beta 68.45
_cell_angle_gamma 37.92
_symmetry_space_group_name_H-M 'P 1'
_symmetry_Int_Tables_number 1
loop_
_symmetry_equiv_pos_as_xyz
'x,y,z'
loop_
_atom_site_label
_atom_site_fract_x
_atom_site_fract_y
_atom_site_fract_z
Sc1 0.0000 0.0000 0.0000
Be1 0.3223 0.3223 0.6777
Te1 0.6943 0.6943 0.3057
```

Values from the calculation:
- Space-group type: Fmm2 (42)



Entry iii
Crystalline ScBeTe at its relaxed geometry, computed with GGA-PBE.

Geometry as CIF:
```
data_ScBeTe
_chemical_formula_sum 'Sc1 Be1 Te1'
_cell_length_a 4.6397
_cell_length_b 4.6397
_cell_length_c 4.6397
_cell_angle_alpha 60.00
_cell_angle_beta 60.00
_cell_angle_gamma 60.00
_symmetry_space_group_name_H-M 'P 1'
_symmetry_Int_Tables_number 1
loop_
_symmetry_equiv_pos_as_xyz
'x,y,z'
loop_
_atom_site_label
_atom_site_fract_x
_atom_site_fract_y
_atom_site_fract_z
Sc1 0.0000 0.0000 0.0000
Be1 0.2500 0.2500 0.2500
Te1 0.7500 0.7500 0.7500
```

Values from the calculation:
- Space-group type: F-43m (216)



Entry iv
Crystalline ScBeTe at its relaxed geometry, computed with GGA-PBE.

Geometry as CIF:
```
data_ScBeTe
_chemical_formula_sum 'Sc1 Be1 Te1'
_cell_length_a 5.1425
_cell_length_b 5.1425
_cell_length_c 5.1425
_cell_angle_alpha 137.92
_cell_angle_beta 137.92
_cell_angle_gamma 61.03
_symmetry_space_group_name_H-M 'P 1'
_symmetry_Int_Tables_number 1
loop_
_symmetry_equiv_pos_as_xyz
'x,y,z'
loop_
_atom_site_label
_atom_site_fract_x
_atom_site_fract_y
_atom_site_fract_z
Sc1 0.0000 0.0000 0.0000
Be1 0.3693 0.3693 0.0000
Te1 0.6621 0.6621 0.0000
```

Values from the calculation:
- Space-group type: I4mm (107)



Least stable structure among those shown: entry iii.